No. 1
Sr3LiAg8 | GGA-PBE | relaxed

The structure in CIF format:
```
data_Sr3LiAg8
_symmetry_space_group_name_H-M 'R 3 m'
_symmetry_Int_Tables_number 160
_symmetry_space_group_name_Hall 'R 3 -2"'
_cell_length_a 5.8553
_cell_length_b 5.8553
_cell_length_c 28.6323
_cell_angle_alpha 90.00
_cell_angle_beta 90.00
_cell_angle_gamma 120.00
loop_
_atom_site_label
_atom_site_type_symbol
_atom_site_fract_x
_atom_site_fract_y
_atom_site_fract_z
Sr1 Sr 0.0000 0.0000 0.0000
Sr2 Sr 0.0000 0.0000 0.1293
Sr3 Sr 0.0000 0.0000 0.5151
Li1 Li 0.0000 0.0000 0.6386
Ag1 Ag 0.0000 0.0000 0.3180
Ag2 Ag 0.0000 0.0000 0.8186
Ag3 Ag 0.1673 0.3346 0.4003
Ag4 Ag 0.1684 0.3368 0.9027
```

Summary:
DFT total energy = -96.0 eV for the cell shown
crystal system = trigonal

No. 2
Pm3Dy2Ga3 | GGA-PBE | relaxed

The structure in CIF format:
```
data_Pm3Dy2Ga3
_symmetry_space_group_name_H-M 'I m m m'
_symmetry_Int_Tables_number 71
_symmetry_space_group_name_Hall '-I 2 2'
_cell_length_a 3.700
_cell_length_b 5.240
_cell_length_c 21.865
_cell_angle_alpha 90.00
_cell_angle_beta 90.00
_cell_angle_gamma 90.00
loop_
_atom_site_label
_atom_site_type_symbol
_atom_site_fract_x
_atom_site_fract_y
_atom_site_fract_z
Pm1 Pm 0.000 0.000 0.000
Pm2 Pm 0.000 0.500 0.118
Dy1 Dy 0.000 0.000 0.229
Ga1 Ga 0.000 0.000 0.500
Ga2 Ga 0.000 0.500 0.380
```

Summary:
DFT total energy = -71.9 eV for the cell shown
crystal system = orthorhombic

| no. | formation energy from the elements (eV per atom) |
| --- | --- |
| 1 | -0.187 |
| 2 | -0.424 |